1.
An optimized crystal structure of Rh2C3. Source: Alexandria, functional PBE.

## Properties
Space-group type = P-3m1, No. 164
Uncorrected energy = -39.10 eV for the cell shown
Energy relative to the lowest polymorph listed for this composition = 0.0 meV/atom
DOS at the Fermi energy = 0.285 states/eV/atom
Formation enthalpy at 0 K = 0.655 eV per atom

Cell and atoms, written as extended XYZ:
```
5
Lattice="-2.5432 0.4837 0.6506 1.8571 -0.1698 1.9098 1.2999 7.6227 -0.5862" Properties=species:S:1:pos:R:3 pbc="T T T"
Rh -0.8363 1.6738 0.9621
Rh 1.4501 6.2628 1.0121
C 0.0000 0.0000 0.0000
C -0.4420 3.9864 0.7842
C 1.0558 3.9502 1.1900
```

=====

2.
An optimized crystal structure of KTeP. Source: Alexandria, functional PBE.

## Properties
Space-group type = I4mm, No. 107
Uncorrected energy = -10.30 eV for the cell shown
Energy relative to the lowest polymorph listed for this composition = 236.6 meV/atom
DOS at the Fermi energy = 0.148 states/eV/atom
Formation energy without anion corrections = -0.218 eV/atom

Cell and atoms, written as extended XYZ:
```
3
Lattice="6.5126 0.0023 0.0000 4.2113 4.9678 0.0000 -5.3620 -2.4851 2.7365" Properties=species:S:1:pos:R:3 pbc="T T T"
K 0.0136 0.0063 0.0000
P 2.9934 1.3873 0.0000
Te 7.7170 3.5765 0.0000
```

=====

3.
An optimized crystal structure of TlCdBiAu. Source: Alexandria, functional PBE.

## Properties
Space-group type = F-43m, No. 216
Uncorrected energy = -10.18 eV for the cell shown
Energy relative to the lowest polymorph listed for this composition = 78.2 meV/atom
DOS at the Fermi energy = 0.536 states/eV/atom
Formation enthalpy at 0 K = 0.065 eV per atom

Cell and atoms, written as extended XYZ:
```
4
Lattice="-1.0469 -2.3755 -4.5787 -0.8070 -5.1992 -0.1434 -4.8212 -1.8899 -0.9424" Properties=species:S:1:pos:R:3 pbc="T T T"
Tl 0.0000 0.0000 0.0000
Au -1.6688 -2.3662 -1.4161
Bi -3.3375 -4.7323 -2.8323
Cd -5.0063 -7.0985 -4.2484
```

=====

4.
An optimized crystal structure of La3SmIr. Source: Alexandria, functional PBE.

## Properties
Space-group type = Pm-3m, No. 221
Uncorrected energy = -29.47 eV for the cell shown
Energy relative to the lowest polymorph listed for this composition = 80.6 meV/atom
DOS at the Fermi energy = 1.906 states/eV/atom
Formation enthalpy at 0 K = -0.222 eV per atom

Cell and atoms, written as extended XYZ:
```
5
Lattice="-4.6687 -0.8291 3.1427 -0.6136 -5.1768 -2.2773 3.1918 -2.2079 4.1592" Properties=species:S:1:pos:R:3 pbc="T T T"
Ir 0.0000 0.0000 0.0000
Sm -1.0453 -4.1069 2.5123
La -0.3068 -2.5884 -1.1386
La 1.5959 -1.1040 2.0796
La -2.3344 -0.4146 1.5714
```

=====

5.
An optimized crystal structure of Ta2CuSb. Source: Alexandria, functional PBE.

## Properties
Space-group type = P2/m, No. 10
Uncorrected energy = -31.07 eV for the cell shown
DOS at the Fermi energy = 0.491 states/eV/atom
Formation energy without anion corrections = 0.214 eV/atom

Cell and atoms, written as extended XYZ:
```
4
Lattice="-0.9665 0.7867 -4.1913 -2.8693 -0.2977 0.6058 -1.7145 5.2677 1.3842" Properties=species:S:1:pos:R:3 pbc="T T T"
Cu -1.6292 1.6359 -1.5982
Sb -3.9211 4.1209 -0.6032
Ta -2.8612 -0.2281 0.6170
Ta -2.3000 2.4154 0.9838
```

=====

6.
An optimized crystal structure of CaAg3Br6. Source: Alexandria, functional PBE.

## Properties
Space-group type = Cmmm, No. 65
Uncorrected energy = -28.22 eV for the cell shown
DOS at the Fermi energy = 0.526 states/eV/atom
Formation energy without anion corrections = -0.763 eV/atom

Cell and atoms, written as extended XYZ:
```
10
Lattice="4.3037 0.0000 0.0000 0.0000 8.6405 0.0295 0.0000 -2.6893 8.2113" Properties=species:S:1:pos:R:3 pbc="T T T"
Ca 0.0000 2.9756 4.1204
Ag 2.1518 4.3202 0.0148
Ag 0.0000 0.0000 0.0000
Ag 2.1518 -1.3446 4.1057
Br 0.0000 -0.2919 2.6215
Br 0.0000 6.2431 5.6194
Br 0.0000 2.5803 0.5474
Br 0.0000 3.3709 7.6935
Br 2.1518 4.5517 2.9823
Br 2.1518 1.3995 5.2586
```

=====

7.
An optimized crystal structure of BeSb2TeF. Source: Alexandria, functional PBE.

## Properties
Space-group type = P4/mmm, No. 123
Uncorrected energy = -16.60 eV for the cell shown
Energy relative to the lowest polymorph listed for this composition = 0.0 meV/atom
DOS at the Fermi energy = 0.650 states/eV/atom
Formation energy without anion corrections = 0.077 eV/atom

Cell and atoms, written as extended XYZ:
```
5
Lattice="4.8639 0.0000 0.0000 0.0000 4.8639 0.0000 0.0000 0.0000 4.8750" Properties=species:S:1:pos:R:3 pbc="T T T"
Sb 0.0000 2.4319 0.0000
Sb 2.4319 0.0000 0.0000
Te 0.0000 0.0000 2.4375
Be 0.0000 0.0000 0.0000
F 2.4319 2.4319 2.4375
```

=====

8.
An optimized crystal structure of RbHgH2Pd2. Source: Alexandria, functional PBE.

## Properties
Space-group type = P2_1/m, No. 11
Uncorrected energy = -38.75 eV for the cell shown
DOS at the Fermi energy = 0.267 states/eV/atom

Cell and atoms, written as extended XYZ:
```
12
Lattice="-2.1861 -4.1542 3.2383 3.7073 -3.0716 -1.4376 3.6679 3.4454 6.8959" Properties=species:S:1:pos:R:3 pbc="T T T"
Rb 1.6003 -1.8559 6.2319
Rb 3.5888 -1.9244 2.4648
Hg 4.0838 0.9970 6.5466
Hg 1.1053 -4.7773 2.1500
H 1.1293 -0.7147 2.3563
H 4.9071 -0.8681 4.7099
H 4.0598 -3.0656 6.3403
H 0.2820 -2.9122 3.9868
Pd 0.0919 -2.1143 2.4512
Pd -0.9664 -4.1253 4.0189
Pd 6.1555 0.3449 4.6778
Pd 5.0972 -1.6660 6.2454
```

=====

9.
An optimized crystal structure of HoZrSc2As4. Source: Alexandria, functional PBE.

## Properties
Space-group type = P2/m, No. 10
Uncorrected energy = -55.21 eV for the cell shown
DOS at the Fermi energy = 0.158 states/eV/atom
Formation enthalpy at 0 K = -1.353 eV per atom

Cell and atoms, written as extended XYZ:
```
8
Lattice="3.9299 0.0000 0.0000 0.0000 6.7783 -0.1357 0.0000 2.3856 6.3770" Properties=species:S:1:pos:R:3 pbc="T T T"
Ho 1.9649 3.3892 -0.0678
Zr 0.0000 4.5819 3.1207
Sc 0.0000 2.3856 6.3770
Sc 1.9649 1.1928 3.1885
As 0.0000 6.9163 4.6196
As 3.9299 2.2477 1.6217
As 1.9650 5.7269 1.5179
As 1.9649 3.4371 4.7234
```

=====

10.
An optimized crystal structure of RbSbIrO6. Source: Alexandria, functional PBE.

## Properties
Space-group type = P312, No. 149
Uncorrected energy = -53.87 eV for the cell shown
DOS at the Fermi energy = 0.621 states/eV/atom
Formation energy without anion corrections = -1.130 eV/atom

Cell and atoms, written as extended XYZ:
```
9
Lattice="-1.7798 3.6069 3.5145 -4.8931 2.0712 -0.5449 -2.3951 -4.7064 3.6172" Properties=species:S:1:pos:R:3 pbc="T T T"
Rb -4.1749 -1.0995 7.1316
Sb -5.6461 1.4322 3.7882
Ir -3.4218 -0.4605 2.7983
O -2.6614 -0.7090 1.0103
O -2.3430 -1.7771 3.7680
O -4.5586 -0.1868 4.3699
O -4.6124 -1.8712 2.1428
O -4.4379 1.0978 2.1848
O -1.9175 0.6833 3.3143
```

=====

11.
An optimized crystal structure of CdIr2. Source: Alexandria, functional PBE.

## Properties
Space-group type = I4/mmm, No. 139
Uncorrected energy = -18.27 eV for the cell shown
DOS at the Fermi energy = 0.916 states/eV/atom
Formation enthalpy at 0 K = 0.124 eV per atom

Cell and atoms, written as extended XYZ:
```
3
Lattice="2.8090 0.0000 0.0000 0.0000 2.8090 0.0000 1.4045 1.4045 6.1977" Properties=species:S:1:pos:R:3 pbc="T T T"
Ir 1.4045 1.4045 2.2182
Ir 2.8090 2.8090 3.9795
Cd 0.0000 0.0000 0.0000
```

=====

12.
An optimized crystal structure of Ru2Pt2W. Source: Alexandria, functional PBE.

## Properties
Space-group type = I4/mmm, No. 139
Uncorrected energy = -40.98 eV for the cell shown
Energy relative to the lowest polymorph listed for this composition = 232.5 meV/atom
DOS at the Fermi energy = 0.815 states/eV/atom
Formation enthalpy at 0 K = 0.521 eV per atom

Cell and atoms, written as extended XYZ:
```
5
Lattice="-2.2821 -2.7493 0.5661 0.0618 -0.7787 -3.5323 3.7895 -5.6375 -0.5435" Properties=species:S:1:pos:R:3 pbc="T T T"
Ru -0.1862 -2.4945 -1.3059
Ru 1.7553 -6.6710 -2.2038
W 0.0000 0.0000 0.0000
Pt 0.1986 -5.0754 -0.7302
Pt 1.3705 -4.0901 -2.7794
```

=====

13.
An optimized crystal structure of Li2LaZr. Source: Alexandria, functional PBE.

## Properties
Space-group type = R-3m, No. 166
Uncorrected energy = -16.16 eV for the cell shown
Energy relative to the lowest polymorph listed for this composition = 133.2 meV/atom
DOS at the Fermi energy = 1.432 states/eV/atom
Formation enthalpy at 0 K = 0.287 eV per atom

Cell and atoms, written as extended XYZ:
```
4
Lattice="-5.1599 8.6163 4.0089 -7.3349 6.3258 4.8083 -4.8056 6.9268 6.7722" Properties=species:S:1:pos:R:3 pbc="T T T"
La -4.3251 5.4672 3.8973
Li -0.0942 0.1191 0.0849
Li -8.5560 10.8153 7.7098
Zr -12.9753 16.4017 11.6920
```